The following is a PBE calculation of a relaxed structure of KCu2Se, from Alexandria via LeMat-Bulk.

Crystal system: orthorhombic
Density of states at the Fermi level in states/eV/atom: 0.66
E_form (uncorrected) in eV/atom: 0.038
Calculated volume in Å³ per atom: 26.52
Uncorrected energy in eV/atom: -3.1555

a = 4.226 Å, b = 6.448 Å, c = 7.787 Å
α = 90.00°, β = 90.00°, γ = 90.00°
Space group Imm2 (No. 44)
Asymmetric unit:
K 0.000 0.000 0.000 [2 per cell]
Cu 0.000 0.000 0.484 [2 per cell]
Cu 0.000 0.500 0.146 [2 per cell]
Se 0.000 0.500 0.840 [2 per cell]